No. 1
First-principles (PBE-GGA) data for crystalline HoCdIn6 at its relaxed geometry, as listed in the Alexandria database.

Its energy of formation is -0.130 eV/atom. The calculation puts the magnetization at 0.00 μB per formula unit. The density of states at the Fermi level is 0.532 states/eV per atom. For the total energy, the calculation gives -45.9 eV for the cell shown.

The structure belongs to space group Cmmm (No. 65); the cell edges are 9.0819, 9.6929 and 4.6629 Å and the angles 90.00°, 90.00° and 90.00°. The distinct sites, in fractional coordinates, are Ho at (0.0000, 0.0000, 0.0000), Cd at (0.0000, 0.5000, 0.0000), In at (0.0000, 0.2420, 0.5000), In at (0.2393, 0.5000, 0.5000) and In at (0.2500, 0.2500, 0.0000).

***

No. 2
First-principles (PBE-GGA) data for crystalline In2Ag5Au2 at its relaxed geometry, as listed in the Alexandria database.

Its energy of formation is 0.047 eV/atom. The calculation puts the magnetization at 0.00 μB per formula unit. The density of states at the Fermi level is 0.313 states/eV per atom. For the total energy, the calculation gives -103.5 eV for the cell shown.

The structure belongs to space group Imma (No. 74); the cell edges are 5.7324, 18.7261 and 6.8136 Å and the angles 90.00°, 90.00° and 90.00°. The distinct sites, in fractional coordinates, are In at (0.0000, 0.0000, 0.0000), In at (0.0000, 0.2500, 0.0538), Ag at (0.0000, 0.2500, 0.4519), Ag at (0.2500, 0.1195, 0.2500), Ag at (0.2500, 0.1732, 0.7500) and Au at (0.0000, 0.0609, 0.6005).

***

No. 3
First-principles (PBE-GGA) data for crystalline Tm8CuTe4P3 at its relaxed geometry, as listed in the Alexandria database.

The value obtained for the uncorrected formation energy is -1275.3 meV per atom. The calculation puts the magnetization at 0.00 μB per formula unit. The density of states at the Fermi level is 0.562 states/eV per atom. For the total energy, the calculation gives -267.2 eV for the cell shown.

The structure belongs to space group R-3m (No. 166, hexagonal axes); the cell edges are 8.1774, 8.1774 and 20.7334 Å and the angles 90.00°, 90.00° and 120.00°. The distinct sites, in fractional coordinates, are Tm at (0.0000, 0.0000, 0.2360), Tm at (0.0006, 0.5003, 0.2372), Cu at (0.0000, 0.0000, 0.5000), Te at (0.0000, 0.0000, 0.0000), Te at (0.0000, 0.5000, 0.0000) and P at (0.0000, 0.5000, 0.5000).